An optimized crystal structure of Tb2NiSb4. Source: Alexandria, functional GGA-PBEsol.

Structure (extended XYZ):
```
7
Lattice="4.2787 0.0000 0.0000 0.0000 4.2787 0.0000 0.0000 0.0000 9.1933" Properties=species:S:1:pos:R:3 pbc="T T T"
Ni 2.1394 2.1394 0.0000
Sb 2.1394 0.0000 7.9799
Tb 0.0000 2.1394 7.0456
Sb 0.0000 2.1394 1.2135
Sb 0.0000 0.0000 4.5967
Tb 2.1394 0.0000 2.1478
Sb 2.1394 2.1394 4.5967
```

Values from the calculation:
Density   8.520 g cm⁻³
Formation energy (no corrections)   -76.7 kJ per mole of atoms
Symmetry   P-4m2
DFT total energy   -39.97 eV per cell
N(E_F)   3.30 states/eV per cell

---

An optimized crystal structure of TbNiSb2. Source: Alexandria, functional GGA-PBEsol.

Structure (extended XYZ):
```
8
Lattice="-1.7737 -3.8812 -0.5745 3.9173 -1.7873 -0.0196 -0.4741 -1.1398 9.1650" Properties=species:S:1:pos:R:3 pbc="T T T"
Sb -0.2371 -0.5699 4.5825
Ni 1.0718 -2.8342 -0.2970
Tb -1.2484 -2.8097 6.7007
Ni 0.0000 0.0000 0.0000
Sb 0.8347 -3.4042 4.2855
Sb -0.9545 -2.1032 1.0202
Sb 1.5521 -1.8709 7.8478
Tb 1.8460 -1.1644 2.1673
```

Values from the calculation:
Density   8.932 g cm⁻³
Formation energy (no corrections)   -71.9 kJ per mole of atoms
Symmetry   P4/nmm
DFT total energy   -46.52 eV per cell
N(E_F)   5.40 states/eV per cell

---

An optimized crystal structure of Tb5Ni2Sb. Source: Alexandria, functional GGA-PBEsol.

Structure (extended XYZ):
```
16
Lattice="-1.0594 7.0924 2.4236 -6.4417 -5.3668 1.0688 -1.1389 -2.5716 7.0276" Properties=species:S:1:pos:R:3 pbc="T T T"
Tb 0.0000 0.0000 0.0000
Tb -3.0740 0.1168 6.4147
Tb -6.0131 -4.9574 8.1582
Sb -4.3001 1.9930 4.1090
Tb -3.3927 4.1394 6.3246
Ni -0.8536 -0.7015 4.7353
Ni -1.6584 2.2236 7.6444
Tb -2.3082 0.0888 2.4519
Ni -1.3447 5.2223 4.7159
Ni -0.5400 2.2972 1.8068
Sb -4.3399 -2.8390 6.4110
Tb -5.2474 -4.9854 4.1954
Tb -5.5661 -0.9629 4.1053
Tb -2.6269 4.1113 2.3618
Tb -6.3318 -0.9348 8.0681
Tb -1.0992 2.2604 4.7256
```

Values from the calculation:
Density   9.160 g cm⁻³
Formation energy (no corrections)   -51.6 kJ per mole of atoms
Symmetry   I4/mcm
DFT total energy   -92.40 eV per cell
N(E_F)   14.14 states/eV per cell

---

An optimized crystal structure of TcNiSb. Source: Alexandria, functional GGA-PBEsol.

Structure (extended XYZ):
```
3
Lattice="-2.2840 1.6552 -1.0381 1.1789 -2.1737 -1.7085 -3.8677 -3.8994 2.2923" Properties=species:S:1:pos:R:3 pbc="T T T"
Tc -2.3751 -0.8768 -0.5234
Ni -0.0218 -0.0220 0.0129
Sb -2.5758 -3.5191 0.0562
```

Values from the calculation:
Excess energy over the best structure of this formula in the dataset   0.167 eV per atom
Density   9.931 g cm⁻³
Formation energy (no corrections)   38.6 kJ per mole of atoms
Symmetry   P3m1
DFT total energy   -20.78 eV per cell
N(E_F)   1.59 states/eV per cell

---

An optimized crystal structure of TcNiSb. Source: Alexandria, functional GGA-PBEsol.

Structure (extended XYZ):
```
3
Lattice="-0.1602 1.4658 -2.8674 -3.2168 -0.2093 0.0698 1.4836 3.1727 3.3532" Properties=species:S:1:pos:R:3 pbc="T T T"
Sb -0.1387 2.5730 1.3230
Tc -1.7555 1.8716 -0.7595
Ni -1.8925 4.4138 0.5477
```

Values from the calculation:
Excess energy over the best structure of this formula in the dataset   0.000 eV per atom
Density   10.394 g cm⁻³
Formation energy (no corrections)   22.5 kJ per mole of atoms
Symmetry   I4mm
DFT total energy   -21.28 eV per cell
N(E_F)   4.68 states/eV per cell

---

An optimized crystal structure of TcNiSb2. Source: Alexandria, functional GGA-PBEsol.

Structure (extended XYZ):
```
4
Lattice="3.5963 0.0000 0.0000 0.0000 3.5963 0.0000 0.0000 0.0000 5.3574" Properties=species:S:1:pos:R:3 pbc="T T T"
Tc 0.0000 0.0000 2.4685
Sb 0.0000 0.0000 5.0327
Sb 1.7981 1.7981 1.6072
Ni 1.7981 1.7981 4.2851
```

Values from the calculation:
Density   9.591 g cm⁻³
Formation energy (no corrections)   7.7 kJ per mole of atoms
Symmetry   P4mm
DFT total energy   -26.22 eV per cell
N(E_F)   1.51 states/eV per cell

---

An optimized crystal structure of TcNi2Sb. Source: Alexandria, functional GGA-PBEsol.

Structure (extended XYZ):
```
4
Lattice="3.2309 0.0000 0.0000 0.0000 3.2309 0.0000 0.0000 0.0000 5.3257" Properties=species:S:1:pos:R:3 pbc="T T T"
Tc 1.6155 1.6155 2.6628
Sb 1.6155 1.6155 0.0000
Ni 0.0000 0.0000 1.4266
Ni 0.0000 0.0000 3.8991
```

Values from the calculation:
Excess energy over the best structure of this formula in the dataset   0.000 eV per atom
Density   10.070 g cm⁻³
Formation energy (no corrections)   17.4 kJ per mole of atoms
Symmetry   P4/mmm
DFT total energy   -27.42 eV per cell
N(E_F)   4.58 states/eV per cell

---

An optimized crystal structure of TcNiSb. Source: Alexandria, functional GGA-PBEsol.

Structure (extended XYZ):
```
3
Lattice="4.1825 0.0000 0.0000 2.0913 3.6222 0.0000 2.0913 1.2074 3.4150" Properties=species:S:1:pos:R:3 pbc="T T T"
Sb 2.0913 1.2074 0.8538
Ni 4.1825 2.4148 1.7075
Tc 0.0000 0.0000 0.0000
```

Values from the calculation:
Excess energy over the best structure of this formula in the dataset   0.157 eV per atom
Density   8.937 g cm⁻³
Formation energy (no corrections)   37.6 kJ per mole of atoms
Symmetry   F-43m
DFT total energy   -20.81 eV per cell
N(E_F)   2.88 states/eV per cell